A relaxed structure of AgSe2BrF, computed with PBEsol.

Cell and atoms, written as POSCAR:
```
AgSe2BrF
1.0
4.2178 0.0000 0.0000
0.0000 4.2178 0.0000
0.0000 0.0000 6.3983
Ag Se Br F
1 2 1 1
Direct
0.0000 0.0000 0.0000 Ag
0.0000 0.5000 0.5000 Se
0.5000 0.0000 0.5000 Se
0.5000 0.5000 0.0000 Br
0.5000 0.5000 0.5000 F
```

Space-group type: P4/mmm, No. 123
Formation energy without anion corrections: 1.3 eV/f.u.
Uncorrected energy: -2.71 eV/atom

A relaxed structure of FeAgBr4, computed with PBEsol.

Cell and atoms, written as POSCAR:
```
FeAgBr4
1.0
0.0000 4.2557 4.2557
4.2557 0.0000 4.2557
4.2557 4.2557 0.0000
Fe Ag Br
1 1 4
Direct
0.0000 0.0000 0.0000 Fe
0.7500 0.7500 0.7500 Ag
0.3745 0.3745 0.3745 Br
0.3745 0.3745 0.8765 Br
0.3745 0.8765 0.3745 Br
0.8765 0.3745 0.3745 Br
```

Space-group type: F-43m, No. 216
Formation energy without anion corrections: 6.5 eV/f.u.
Uncorrected energy: -2.21 eV/atom

A relaxed structure of FeAg2Br, computed with PBEsol.

Cell and atoms, written as POSCAR:
```
FeAg2Br
1.0
3.7947 0.0000 0.0000
0.0000 3.7947 0.0000
0.0000 0.0000 9.8814
Fe Ag Br
2 4 2
Direct
0.0000 0.0000 0.0000 Fe
0.5000 0.5000 0.5000 Fe
0.0000 0.5000 0.2500 Ag
0.0000 0.5000 0.7500 Ag
0.5000 0.0000 0.2500 Ag
0.5000 0.0000 0.7500 Ag
0.0000 0.0000 0.5000 Br
0.5000 0.5000 0.0000 Br
```

Space-group type: I4/mmm, No. 139
Formation energy without anion corrections: 2.4 eV/f.u.
Uncorrected energy: -3.76 eV/atom

A relaxed structure of FeAgBr, computed with PBEsol.

Cell and atoms, written as POSCAR:
```
FeAgBr
1.0
3.1756 0.0000 0.0000
-1.5878 2.7502 0.0000
0.0000 0.0000 6.2385
Fe Ag Br
1 1 1
Direct
0.0000 0.0000 0.0000 Fe
0.6667 0.3333 0.6878 Ag
0.3333 0.6667 0.2687 Br
```

Space-group type: P3m1, No. 156
Formation energy without anion corrections: 1.0 eV/f.u.
Uncorrected energy: -4.39 eV/atom

A relaxed structure of FeAg2Br, computed with PBEsol.

Cell and atoms, written as POSCAR:
```
FeAg2Br
1.0
6.5842 0.0000 0.0000
0.0000 6.5842 0.0000
0.0000 0.0000 6.5842
Fe Ag Br
4 8 4
Direct
0.0000 0.0000 0.0000 Fe
0.0000 0.5000 0.5000 Fe
0.5000 0.0000 0.5000 Fe
0.5000 0.5000 0.0000 Fe
0.2500 0.2500 0.2500 Ag
0.2500 0.2500 0.7500 Ag
0.2500 0.7500 0.2500 Ag
0.2500 0.7500 0.7500 Ag
0.7500 0.2500 0.2500 Ag
0.7500 0.2500 0.7500 Ag
0.7500 0.7500 0.2500 Ag
0.7500 0.7500 0.7500 Ag
0.0000 0.0000 0.5000 Br
0.0000 0.5000 0.0000 Br
0.5000 0.0000 0.0000 Br
0.5000 0.5000 0.5000 Br
```

Space-group type: Fm-3m, No. 225
Formation energy without anion corrections: 2.9 eV/f.u.
Uncorrected energy: -3.63 eV/atom

A relaxed structure of Rb2GaAgBr6, computed with PBEsol.

Cell and atoms, written as POSCAR:
```
Rb2GaAgBr6
1.0
0.0000 5.2956 5.2956
5.2956 0.0000 5.2956
5.2956 5.2956 0.0000
Rb Ga Ag Br
2 1 1 6
Direct
0.2500 0.2500 0.2500 Rb
0.7500 0.7500 0.7500 Rb
0.0000 0.0000 0.0000 Ga
0.5000 0.5000 0.5000 Ag
0.2408 0.2408 0.7592 Br
0.2408 0.7592 0.2408 Br
0.2408 0.7592 0.7592 Br
0.7592 0.2408 0.2408 Br
0.7592 0.2408 0.7592 Br
0.7592 0.7592 0.2408 Br
```

Space-group type: Fm-3m, No. 225
Formation energy without anion corrections: -10.6 eV/f.u.
Uncorrected energy: -3.05 eV/atom

A relaxed structure of GaAgSeBr2, computed with PBEsol.

Cell and atoms, written as POSCAR:
```
GaAgSeBr2
1.0
5.0806 0.0000 0.0000
0.0000 5.0806 0.0000
0.0000 0.0000 4.9281
Ga Ag Se Br
1 1 1 2
Direct
0.0000 0.0000 0.0000 Ga
0.5000 0.5000 0.5000 Ag
0.0000 0.0000 0.5000 Se
0.0000 0.5000 0.0000 Br
0.5000 0.0000 0.0000 Br
```

Space-group type: P4/mmm, No. 123
Formation energy without anion corrections: 0.3 eV/f.u.
Uncorrected energy: -2.80 eV/atom

A relaxed structure of NbAg2GeBr, computed with PBEsol.

Cell and atoms, written as POSCAR:
```
NbAg2GeBr
1.0
5.1929 0.0000 0.0000
0.0000 5.1929 0.0000
0.0000 0.0000 4.7703
Nb Ag Ge Br
1 2 1 1
Direct
0.0000 0.0000 0.0000 Nb
0.0000 0.5000 0.0000 Ag
0.5000 0.0000 0.0000 Ag
0.5000 0.5000 0.5000 Ge
0.0000 0.0000 0.5000 Br
```

Space-group type: P4/mmm, No. 123
Formation energy without anion corrections: 5.4 eV/f.u.
Uncorrected energy: -3.76 eV/atom

A relaxed structure of Ag6GeS4Br2, computed with PBEsol.

Cell and atoms, written as POSCAR:
```
Ag6GeS4Br2
1.0
6.4457 0.0000 0.0000
0.0000 7.7064 0.0000
0.0000 0.0000 22.2472
Ag Ge S Br
24 4 16 8
Direct
0.0000 0.0000 0.0000 Ag
0.0000 0.5000 0.0000 Ag
0.0128 0.2500 0.1620 Ag
0.0193 0.5644 0.4357 Ag
0.0193 0.9356 0.4357 Ag
0.0468 0.5657 0.3021 Ag
0.0468 0.9343 0.3021 Ag
0.4532 0.0657 0.8021 Ag
0.4532 0.4343 0.8021 Ag
0.4807 0.0644 0.9357 Ag
0.4807 0.4356 0.9357 Ag
0.4872 0.7500 0.6620 Ag
0.5000 0.0000 0.5000 Ag
0.5000 0.5000 0.5000 Ag
0.5128 0.2500 0.3380 Ag
0.5193 0.5644 0.0643 Ag
0.5193 0.9356 0.0643 Ag
0.5468 0.5657 0.1979 Ag
0.5468 0.9343 0.1979 Ag
0.9532 0.0657 0.6979 Ag
0.9532 0.4343 0.6979 Ag
0.9807 0.0644 0.5643 Ag
0.9807 0.4356 0.5643 Ag
0.9872 0.7500 0.8380 Ag
0.0199 0.7500 0.1310 Ge
0.4801 0.2500 0.6310 Ge
0.5199 0.7500 0.3690 Ge
0.9801 0.2500 0.8690 Ge
0.1708 0.0080 0.8760 S
0.1708 0.4920 0.8760 S
0.2026 0.7500 0.0442 S
0.2162 0.7500 0.2127 S
0.2838 0.2500 0.7127 S
0.2974 0.2500 0.5442 S
0.3292 0.5080 0.3760 S
0.3292 0.9920 0.3760 S
0.6708 0.0080 0.6240 S
0.6708 0.4920 0.6240 S
0.7026 0.7500 0.4558 S
0.7162 0.7500 0.2873 S
0.7838 0.2500 0.7873 S
0.7974 0.2500 0.9558 S
0.8292 0.5080 0.1240 S
0.8292 0.9920 0.1240 S
0.1251 0.7500 0.7140 Br
0.1781 0.7500 0.5468 Br
0.3219 0.2500 0.0468 Br
0.3749 0.2500 0.2140 Br
0.6251 0.7500 0.7860 Br
0.6781 0.7500 0.9532 Br
0.8219 0.2500 0.4532 Br
0.8749 0.2500 0.2860 Br
```

Space-group type: Pnma, No. 62
Formation energy without anion corrections: -2.7 eV/f.u.
Uncorrected energy: -3.75 eV/atom

A relaxed structure of AgH3BrN, computed with PBEsol.

Cell and atoms, written as POSCAR:
```
AgH3BrN
1.0
4.2067 0.0000 0.0000
0.0000 5.8793 0.0000
-0.9036 0.0000 6.6084
Ag H Br N
2 6 2 2
Direct
0.1345 0.2500 0.0197 Ag
0.8655 0.7500 0.9803 Ag
0.1214 0.2500 0.4255 H
0.1969 0.6081 0.6897 H
0.1969 0.8919 0.6897 H
0.8031 0.1081 0.3103 H
0.8031 0.3919 0.3103 H
0.8786 0.7500 0.5745 H
0.4982 0.7500 0.2447 Br
0.5018 0.2500 0.7553 Br
0.0547 0.7500 0.6984 N
0.9453 0.2500 0.3016 N
```

Space-group type: P2_1/m, No. 11
Uncorrected energy: -4.33 eV/atom

A relaxed structure of Hf2AgBr, computed with PBEsol.

Cell and atoms, written as POSCAR:
```
Hf2AgBr
1.0
6.7352 0.0000 0.0000
0.0000 6.7352 0.0000
0.0000 0.0000 6.7352
Hf Ag Br
8 4 4
Direct
0.2500 0.2500 0.2500 Hf
0.2500 0.2500 0.7500 Hf
0.2500 0.7500 0.2500 Hf
0.2500 0.7500 0.7500 Hf
0.7500 0.2500 0.2500 Hf
0.7500 0.2500 0.7500 Hf
0.7500 0.7500 0.2500 Hf
0.7500 0.7500 0.7500 Hf
0.0000 0.0000 0.0000 Ag
0.0000 0.5000 0.5000 Ag
0.5000 0.0000 0.5000 Ag
0.5000 0.5000 0.0000 Ag
0.0000 0.0000 0.5000 Br
0.0000 0.5000 0.0000 Br
0.5000 0.0000 0.0000 Br
0.5000 0.5000 0.5000 Br
```

Space-group type: Fm-3m, No. 225
Formation energy without anion corrections: 0.2 eV/f.u.
Uncorrected energy: -6.50 eV/atom

A relaxed structure of HfAg3Br, computed with PBEsol.

Cell and atoms, written as POSCAR:
```
HfAg3Br
1.0
4.9315 0.0000 0.0000
0.0000 4.9315 0.0000
0.0000 0.0000 4.9315
Hf Ag Br
1 3 1
Direct
0.0000 0.0000 0.0000 Hf
0.0000 0.5000 0.5000 Ag
0.5000 0.0000 0.5000 Ag
0.5000 0.5000 0.0000 Ag
0.5000 0.5000 0.5000 Br
```

Space-group type: Pm-3m, No. 221
Formation energy without anion corrections: 6.0 eV/f.u.
Uncorrected energy: -3.25 eV/atom